PuPaBe | the Alexandria database | PBE | relaxed; energy of formation = 19.14 kJ/mol of atoms; crystal system = orthorhombic; offset from the most stable computed form = 0 meV/atom
1.0
1.897 -8.544 0.000
1.897 8.544 0.000
0.000 0.000 3.661
Pu Pa Be
2 2 2
Cartesian
1.897 5.299 2.746
1.897 -5.299 0.915
1.897 1.659 2.746
1.897 -1.659 0.915
1.897 8.020 2.746
1.897 -8.020 0.915

PuTh12In3 | the Alexandria database | PBE | relaxed; energy of formation = -8.05 kJ/mol of atoms; crystal system = tetragonal
1.0
4.947 0.000 0.000
0.000 4.947 0.000
0.000 0.000 19.931
Pu Th In
1 12 3
Cartesian
0.000 0.000 0.000
0.000 2.473 2.503
0.000 2.473 7.492
0.000 2.473 12.439
0.000 2.473 17.428
2.473 0.000 2.503
2.473 0.000 7.492
2.473 0.000 12.439
2.473 0.000 17.428
2.473 2.473 0.000
2.473 2.473 4.963
2.473 2.473 9.965
2.473 2.473 14.967
0.000 0.000 5.004
0.000 0.000 9.965
0.000 0.000 14.927